Below is crystalline LaY2Pd9 at its relaxed geometry, with properties calculated at the PBE-GGA level.

Cell: 4.1756 4.1756 12.4520 Å, 90.00 90.00 90.00°
Atoms (fractional coordinates):
Pd 0.0000 0.5000 0.5000
Pd 0.5000 0.0000 0.5000
Pd 0.5000 0.5000 0.6648
Pd 0.5000 0.0000 0.8280
Pd 0.0000 0.5000 0.1720
Pd 0.0000 0.5000 0.8280
Pd 0.5000 0.5000 0.3352
Pd 0.5000 0.5000 0.0000
Pd 0.5000 0.0000 0.1720
Y 0.0000 0.0000 0.6629
Y 0.0000 0.0000 0.3371
La 0.0000 0.0000 0.0000

## Properties
V: 217.1 Å³/f.u.
magnetic moment: 0.00 μB/f.u.
ΔH_f (0 K): -0.825 eV/atom
symmetry: P4/mmm, No. 123

Below is crystalline Tm2MnGa at its relaxed geometry, with properties calculated at the PBE-GGA level.

Cell: 4.9648 4.9648 4.9648 Å, 60.00 60.00 60.00°
Atoms (fractional coordinates):
Mn 0.5000 0.5000 0.5000
Ga 0.0000 0.0000 0.0000
Tm 0.2500 0.2500 0.2500
Tm 0.7500 0.7500 0.7500

## Properties
V: 86.5 Å³/f.u.
magnetic moment: 3.32 μB/f.u.
ΔH_f (0 K): -0.178 eV/atom
symmetry: Fm-3m, No. 225

Below is crystalline HfTlTe3Au at its relaxed geometry, with properties calculated at the PBE-GGA level.

Cell: 4.1573 8.7140 10.8115 Å, 111.49 90.00 90.00°
Atoms (fractional coordinates):
Te 0.7500 0.9202 0.1399
Te 0.2500 0.5533 0.8797
Te 0.7500 0.4467 0.1203
Te 0.2500 0.0798 0.8601
Te 0.7500 0.2745 0.5540
Te 0.2500 0.7255 0.4460
Hf 0.7500 0.2943 0.8220
Hf 0.2500 0.7057 0.1780
Au 0.2500 0.0848 0.6084
Au 0.7500 0.9152 0.3916
Tl 0.7500 0.7270 0.7140
Tl 0.2500 0.2730 0.2860

## Properties
V: 182.2 Å³/f.u.
magnetic moment: 0.00 μB/f.u.
ΔE_f (raw): -0.526 eV/atom
symmetry: P2_1/m, No. 11

Repeat the third record exactly.
Below is crystalline HfTlTe3Au at its relaxed geometry, with properties calculated at the PBE-GGA level.

Cell: 4.1573 8.7140 10.8115 Å, 111.49 90.00 90.00°
Atoms (fractional coordinates):
Te 0.7500 0.9202 0.1399
Te 0.2500 0.5533 0.8797
Te 0.7500 0.4467 0.1203
Te 0.2500 0.0798 0.8601
Te 0.7500 0.2745 0.5540
Te 0.2500 0.7255 0.4460
Hf 0.7500 0.2943 0.8220
Hf 0.2500 0.7057 0.1780
Au 0.2500 0.0848 0.6084
Au 0.7500 0.9152 0.3916
Tl 0.7500 0.7270 0.7140
Tl 0.2500 0.2730 0.2860

## Properties
V: 182.2 Å³/f.u.
magnetic moment: 0.00 μB/f.u.
ΔE_f (raw): -0.526 eV/atom
symmetry: P2_1/m, No. 11